No. 1
## Ce2CBr3 (PBE-GGA)

Data for a geometry-optimized Ce2CBr3 structure.

CIF file:
```
data_Ce2CBr3
_chemical_formula_sum 'Ce4 C2 Br6'
_space_group_name_H-M_alt 'P 1'
_space_group_IT_number 1
_cell_length_a 4.064
_cell_length_b 9.221
_cell_length_c 10.379
_cell_angle_alpha 71.94
_cell_angle_beta 78.71
_cell_angle_gamma 77.27
loop_
_space_group_symop_operation_xyz
'x,y,z'
loop_
_atom_site_label
_atom_site_fract_x
_atom_site_fract_y
_atom_site_fract_z
Ce1 0.867 0.481 0.784
Ce2 0.133 0.519 0.216
Ce3 0.581 0.295 0.543
Ce4 0.419 0.705 0.457
C1 0.428 0.493 0.651
C2 0.572 0.507 0.349
Br1 0.043 0.156 0.758
Br2 0.957 0.844 0.242
Br3 0.665 0.679 0.991
Br4 0.335 0.321 0.009
Br5 0.779 0.822 0.621
Br6 0.221 0.178 0.379
```

Results
E_tot   -0.208 hartree per atom
Total magnetic moment   1.0 μB/f.u.
E_form (uncorrected)   -1.316 eV per atom

No. 2
## NaAg2SeCl8 (PBE-GGA)

Data for a geometry-optimized NaAg2SeCl8 structure.

CIF file:
```
data_NaAg2SeCl8
_chemical_formula_sum 'Na1 Ag2 Se1 Cl8'
_space_group_name_H-M_alt 'P 1'
_space_group_IT_number 1
_cell_length_a 6.621
_cell_length_b 6.303
_cell_length_c 7.791
_cell_angle_alpha 90.00
_cell_angle_beta 90.00
_cell_angle_gamma 97.13
loop_
_space_group_symop_operation_xyz
'x,y,z'
loop_
_atom_site_label
_atom_site_fract_x
_atom_site_fract_y
_atom_site_fract_z
Na1 0.000 0.000 0.500
Ag1 0.500 0.500 0.747
Ag2 0.500 0.500 0.253
Se1 0.000 0.000 0.000
Cl1 0.146 0.795 0.216
Cl2 0.667 0.721 0.000
Cl3 0.854 0.205 0.216
Cl4 0.854 0.205 0.784
Cl5 0.333 0.279 0.000
Cl6 0.146 0.795 0.784
Cl7 0.636 0.735 0.500
Cl8 0.364 0.265 0.500
```

Results
E_tot   -0.098 hartree per atom
Total magnetic moment   0.0 μB/f.u.
E_form (uncorrected)   -0.557 eV per atom

No. 3
## SrSi2AsIr (PBE-GGA)

Data for a geometry-optimized SrSi2AsIr structure.

CIF file:
```
data_SrSi2AsIr
_chemical_formula_sum 'Sr1 Si2 As1 Ir1'
_space_group_name_H-M_alt 'P 1'
_space_group_IT_number 1
_cell_length_a 4.717
_cell_length_b 5.559
_cell_length_c 4.717
_cell_angle_alpha 90.00
_cell_angle_beta 90.00
_cell_angle_gamma 90.00
loop_
_space_group_symop_operation_xyz
'x,y,z'
loop_
_atom_site_label
_atom_site_fract_x
_atom_site_fract_y
_atom_site_fract_z
Sr1 0.000 0.500 0.000
As1 0.000 0.000 0.000
Ir1 0.500 0.500 0.500
Si1 0.000 0.000 0.500
Si2 0.500 0.000 0.000
```

Results
E_tot   -0.155 hartree per atom
Total magnetic moment   0.0 μB/f.u.
E_form (uncorrected)   0.989 eV per atom

No. 4
## Ba2ScCo (PBE-GGA)

Data for a geometry-optimized Ba2ScCo structure.

CIF file:
```
data_Ba2ScCo
_chemical_formula_sum 'Ba2 Sc1 Co1'
_space_group_name_H-M_alt 'P 1'
_space_group_IT_number 1
_cell_length_a 5.549
_cell_length_b 5.549
_cell_length_c 5.549
_cell_angle_alpha 120.12
_cell_angle_beta 120.12
_cell_angle_gamma 89.79
loop_
_space_group_symop_operation_xyz
'x,y,z'
loop_
_atom_site_label
_atom_site_fract_x
_atom_site_fract_y
_atom_site_fract_z
Ba1 0.000 0.000 0.000
Ba2 0.250 0.750 0.500
Co1 0.500 0.500 0.000
Sc1 0.750 0.250 0.500
```

Results
E_tot   -0.133 hartree per atom
Polymorph energy (0 for the lowest one)   516 meV/atom
Energy of formation   710 meV/atom
Total magnetic moment   0.9 μB/f.u.

No. 5
## SiTeP (PBE-GGA)

Data for a geometry-optimized SiTeP structure.

CIF file:
```
data_SiTeP
_chemical_formula_sum 'Si1 Te1 P1'
_space_group_name_H-M_alt 'P 1'
_space_group_IT_number 1
_cell_length_a 7.553
_cell_length_b 7.553
_cell_length_c 7.553
_cell_angle_alpha 155.50
_cell_angle_beta 155.50
_cell_angle_gamma 34.92
loop_
_space_group_symop_operation_xyz
'x,y,z'
loop_
_atom_site_label
_atom_site_fract_x
_atom_site_fract_y
_atom_site_fract_z
P1 0.906 0.906 0.000
Si1 0.456 0.456 0.000
Te1 0.638 0.638 0.000
```

Results
E_tot   -0.167 hartree per atom
Polymorph energy (0 for the lowest one)   166 meV/atom
Total magnetic moment   0.0 μB/f.u.
E_form (uncorrected)   0.115 eV per atom

No. 6
## SnMoIr2Pd (PBE-GGA)

Data for a geometry-optimized SnMoIr2Pd structure.

CIF file:
```
data_SnMoIr2Pd
_chemical_formula_sum 'Sn1 Mo1 Ir2 Pd1'
_space_group_name_H-M_alt 'P 1'
_space_group_IT_number 1
_cell_length_a 4.690
_cell_length_b 5.144
_cell_length_c 4.690
_cell_angle_alpha 90.00
_cell_angle_beta 90.00
_cell_angle_gamma 90.00
loop_
_space_group_symop_operation_xyz
'x,y,z'
loop_
_atom_site_label
_atom_site_fract_x
_atom_site_fract_y
_atom_site_fract_z
Mo1 0.000 0.000 0.000
Ir1 0.000 0.000 0.500
Ir2 0.500 0.000 0.000
Sn1 0.000 0.500 0.000
Pd1 0.500 0.500 0.500
```

Results
E_tot   -0.229 hartree per atom
Energy of formation   1309 meV/atom
Total magnetic moment   0.0 μB/f.u.

No. 7
## RbSnHgTe3 (PBE-GGA)

Data for a geometry-optimized RbSnHgTe3 structure.

CIF file:
```
data_RbSnHgTe3
_chemical_formula_sum 'Rb2 Sn2 Hg2 Te6'
_space_group_name_H-M_alt 'P 1'
_space_group_IT_number 1
_cell_length_a 4.429
_cell_length_b 9.798
_cell_length_c 10.993
_cell_angle_alpha 106.78
_cell_angle_beta 90.00
_cell_angle_gamma 90.00
loop_
_space_group_symop_operation_xyz
'x,y,z'
loop_
_atom_site_label
_atom_site_fract_x
_atom_site_fract_y
_atom_site_fract_z
Rb1 0.250 0.216 0.268
Rb2 0.750 0.784 0.732
Sn1 0.250 0.669 0.114
Sn2 0.750 0.331 0.886
Hg1 0.250 0.073 0.626
Hg2 0.750 0.927 0.374
Te1 0.750 0.889 0.106
Te2 0.250 0.111 0.894
Te3 0.250 0.777 0.450
Te4 0.750 0.223 0.550
Te5 0.750 0.469 0.161
Te6 0.250 0.531 0.839
```

Results
E_tot   -0.105 hartree per atom
Total magnetic moment   0.0 μB/f.u.
E_form (uncorrected)   -0.395 eV per atom

No. 8
## HgWSe2 (PBE-GGA)

Data for a geometry-optimized HgWSe2 structure.

CIF file:
```
data_HgWSe2
_chemical_formula_sum 'Hg1 W1 Se2'
_space_group_name_H-M_alt 'P 1'
_space_group_IT_number 1
_cell_length_a 10.848
_cell_length_b 10.848
_cell_length_c 10.848
_cell_angle_alpha 17.53
_cell_angle_beta 17.53
_cell_angle_gamma 17.53
loop_
_space_group_symop_operation_xyz
'x,y,z'
loop_
_atom_site_label
_atom_site_fract_x
_atom_site_fract_y
_atom_site_fract_z
Se1 0.887 0.887 0.887
Se2 0.113 0.113 0.113
Hg1 0.000 0.000 0.000
W1 0.500 0.500 0.500
```

Results
E_tot   -0.194 hartree per atom
Total magnetic moment   0.0 μB/f.u.
E_form (uncorrected)   -0.215 eV per atom

No. 9
## MgBiH (PBE-GGA)

Data for a geometry-optimized MgBiH structure.

CIF file:
```
data_MgBiH
_chemical_formula_sum 'Mg4 Bi4 H4'
_space_group_name_H-M_alt 'P 1'
_space_group_IT_number 1
_cell_length_a 8.214
_cell_length_b 4.013
_cell_length_c 7.680
_cell_angle_alpha 90.00
_cell_angle_beta 90.00
_cell_angle_gamma 90.00
loop_
_space_group_symop_operation_xyz
'x,y,z'
loop_
_atom_site_label
_atom_site_fract_x
_atom_site_fract_y
_atom_site_fract_z
H1 0.986 0.250 0.404
H2 0.514 0.750 0.904
H3 0.014 0.750 0.596
H4 0.486 0.250 0.096
Mg1 0.004 0.250 0.656
Mg2 0.496 0.750 0.156
Mg3 0.996 0.750 0.344
Mg4 0.504 0.250 0.844
Bi1 0.360 0.250 0.487
Bi2 0.140 0.750 0.987
Bi3 0.640 0.750 0.513
Bi4 0.860 0.250 0.013
```

Results
E_tot   -0.107 hartree per atom
Polymorph energy (0 for the lowest one)   99 meV/atom
Total magnetic moment   0.0 μB/f.u.

No. 10
## TcMo (PBE-GGA)

Data for a geometry-optimized TcMo structure.

CIF file:
```
data_TcMo
_chemical_formula_sum 'Tc2 Mo2'
_space_group_name_H-M_alt 'P 1'
_space_group_IT_number 1
_cell_length_a 2.722
_cell_length_b 4.406
_cell_length_c 5.191
_cell_angle_alpha 90.00
_cell_angle_beta 100.88
_cell_angle_gamma 90.00
loop_
_space_group_symop_operation_xyz
'x,y,z'
loop_
_atom_site_label
_atom_site_fract_x
_atom_site_fract_y
_atom_site_fract_z
Tc1 0.660 0.250 0.371
Tc2 0.340 0.750 0.629
Mo1 0.111 0.250 0.870
Mo2 0.889 0.750 0.130
```

Results
E_tot   -0.386 hartree per atom
Polymorph energy (0 for the lowest one)   16 meV/atom
Energy of formation   91 meV/atom
Total magnetic moment   0.0 μB/f.u.

No. 11
## KLa2Mn (PBE-GGA)

Data for a geometry-optimized KLa2Mn structure.

CIF file:
```
data_KLa2Mn
_chemical_formula_sum 'K1 La2 Mn1'
_space_group_name_H-M_alt 'P 1'
_space_group_IT_number 1
_cell_length_a 7.047
_cell_length_b 7.047
_cell_length_c 3.451
_cell_angle_alpha 78.12
_cell_angle_beta 78.12
_cell_angle_gamma 119.28
loop_
_space_group_symop_operation_xyz
'x,y,z'
loop_
_atom_site_label
_atom_site_fract_x
_atom_site_fract_y
_atom_site_fract_z
K1 0.000 0.500 0.500
La1 0.000 0.000 0.000
La2 0.500 0.500 0.000
Mn1 0.500 0.000 0.500
```

Results
E_tot   -0.160 hartree per atom
Polymorph energy (0 for the lowest one)   418 meV/atom
Energy of formation   685 meV/atom
Total magnetic moment   4.2 μB/f.u.

No. 12
## PmGeSe3 (PBE-GGA)

Data for a geometry-optimized PmGeSe3 structure.

CIF file:
```
data_PmGeSe3
_chemical_formula_sum 'Pm4 Ge4 Se12'
_space_group_name_H-M_alt 'P 1'
_space_group_IT_number 1
_cell_length_a 6.994
_cell_length_b 7.780
_cell_length_c 9.692
_cell_angle_alpha 90.00
_cell_angle_beta 92.98
_cell_angle_gamma 90.00
loop_
_space_group_symop_operation_xyz
'x,y,z'
loop_
_atom_site_label
_atom_site_fract_x
_atom_site_fract_y
_atom_site_fract_z
Pm1 0.958 0.626 0.249
Pm2 0.542 0.126 0.251
Pm3 0.042 0.374 0.751
Pm4 0.458 0.874 0.749
Ge1 0.419 0.602 0.069
Ge2 0.081 0.102 0.431
Ge3 0.581 0.398 0.931
Ge4 0.919 0.898 0.569
Se1 0.152 0.672 0.568
Se2 0.348 0.172 0.932
Se3 0.848 0.328 0.432
Se4 0.652 0.828 0.068
Se5 0.849 0.030 0.780
Se6 0.651 0.530 0.720
Se7 0.151 0.970 0.220
Se8 0.349 0.470 0.280
Se9 0.646 0.806 0.432
Se10 0.854 0.306 0.068
Se11 0.354 0.194 0.568
Se12 0.146 0.694 0.932
```

Results
E_tot   -0.184 hartree per atom
Polymorph energy (0 for the lowest one)   0 meV/atom
Total magnetic moment   0.0 μB/f.u.
E_form (uncorrected)   -1.045 eV per atom

No. 13
## Ba2LaOs (PBE-GGA)

Data for a geometry-optimized Ba2LaOs structure.

CIF file:
```
data_Ba2LaOs
_chemical_formula_sum 'Ba2 La1 Os1'
_space_group_name_H-M_alt 'P 1'
_space_group_IT_number 1
_cell_length_a 5.554
_cell_length_b 5.554
_cell_length_c 5.554
_cell_angle_alpha 60.00
_cell_angle_beta 60.00
_cell_angle_gamma 60.00
loop_
_space_group_symop_operation_xyz
'x,y,z'
loop_
_atom_site_label
_atom_site_fract_x
_atom_site_fract_y
_atom_site_fract_z
Os1 0.500 0.500 0.500
Ba1 0.250 0.250 0.250
Ba2 0.750 0.750 0.750
La1 0.000 0.000 0.000
```

Results
E_tot   -0.153 hartree per atom
Polymorph energy (0 for the lowest one)   635 meV/atom
Energy of formation   828 meV/atom
Total magnetic moment   0.0 μB/f.u.

No. 14
## PmNpRh2 (PBE-GGA)

Data for a geometry-optimized PmNpRh2 structure.

CIF file:
```
data_PmNpRh2
_chemical_formula_sum 'Pm1 Np1 Rh2'
_space_group_name_H-M_alt 'P 1'
_space_group_IT_number 1
_cell_length_a 3.428
_cell_length_b 3.428
_cell_length_c 7.101
_cell_angle_alpha 90.00
_cell_angle_beta 90.00
_cell_angle_gamma 90.00
loop_
_space_group_symop_operation_xyz
'x,y,z'
loop_
_atom_site_label
_atom_site_fract_x
_atom_site_fract_y
_atom_site_fract_z
Np1 0.500 0.500 0.500
Rh1 0.000 0.000 0.720
Rh2 0.000 0.000 0.280
Pm1 0.500 0.500 0.000
```

Results
E_tot   -0.313 hartree per atom
Polymorph energy (0 for the lowest one)   47 meV/atom
Energy of formation   -425 meV/atom
Total magnetic moment   3.3 μB/f.u.

No. 15
## TiGeI3 (PBE-GGA)

Data for a geometry-optimized TiGeI3 structure.

CIF file:
```
data_TiGeI3
_chemical_formula_sum 'Ti1 Ge1 I3'
_space_group_name_H-M_alt 'P 1'
_space_group_IT_number 1
_cell_length_a 5.584
_cell_length_b 5.584
_cell_length_c 5.584
_cell_angle_alpha 90.00
_cell_angle_beta 90.00
_cell_angle_gamma 90.00
loop_
_space_group_symop_operation_xyz
'x,y,z'
loop_
_atom_site_label
_atom_site_fract_x
_atom_site_fract_y
_atom_site_fract_z
I1 0.000 0.500 0.000
I2 0.000 0.000 0.500
I3 0.500 0.000 0.000
Ge1 0.500 0.500 0.500
Ti1 0.000 0.000 0.000
```

Results
E_tot   -0.123 hartree per atom
Polymorph energy (0 for the lowest one)   0 meV/atom
Total magnetic moment   3.0 μB/f.u.
E_form (uncorrected)   0.076 eV per atom

No. 16
## Sn5Se4Br (PBE-GGA)

Data for a geometry-optimized Sn5Se4Br structure.

CIF file:
```
data_Sn5Se4Br
_chemical_formula_sum 'Sn5 Se4 Br1'
_space_group_name_H-M_alt 'P 1'
_space_group_IT_number 1
_cell_length_a 4.145
_cell_length_b 7.564
_cell_length_c 9.860
_cell_angle_alpha 79.94
_cell_angle_beta 77.87
_cell_angle_gamma 74.10
loop_
_space_group_symop_operation_xyz
'x,y,z'
loop_
_atom_site_label
_atom_site_fract_x
_atom_site_fract_y
_atom_site_fract_z
Sn1 0.206 0.906 0.683
Sn2 0.794 0.094 0.317
Sn3 0.389 0.332 0.890
Sn4 0.000 0.500 0.500
Sn5 0.611 0.668 0.110
Se1 0.601 0.198 0.599
Se2 0.200 0.400 0.200
Se3 0.800 0.600 0.800
Se4 0.399 0.802 0.401
Br1 0.000 0.000 0.000
```

Results
E_tot   -0.145 hartree per atom
Total magnetic moment   0.0 μB/f.u.
E_form (uncorrected)   -0.393 eV per atom

No. 17
## NiPPt4 (PBE-GGA)

Data for a geometry-optimized NiPPt4 structure.

CIF file:
```
data_NiPPt4
_chemical_formula_sum 'Ni1 P1 Pt4'
_space_group_name_H-M_alt 'P 1'
_space_group_IT_number 1
_cell_length_a 5.221
_cell_length_b 5.221
_cell_length_c 5.221
_cell_angle_alpha 60.00
_cell_angle_beta 60.00
_cell_angle_gamma 60.00
loop_
_space_group_symop_operation_xyz
'x,y,z'
loop_
_atom_site_label
_atom_site_fract_x
_atom_site_fract_y
_atom_site_fract_z
Ni1 0.750 0.750 0.750
P1 0.000 0.000 0.000
Pt1 0.874 0.375 0.375
Pt2 0.375 0.375 0.874
Pt3 0.375 0.874 0.375
Pt4 0.375 0.375 0.375
```

Results
E_tot   -0.198 hartree per atom
Energy of formation   496 meV/atom
Total magnetic moment   0.0 μB/f.u.

No. 18
## Na2CaInSn2 (PBE-GGA)

Data for a geometry-optimized Na2CaInSn2 structure.

CIF file:
```
data_Na2CaInSn2
_chemical_formula_sum 'Na4 Ca2 In2 Sn4'
_space_group_name_H-M_alt 'P 1'
_space_group_IT_number 1
_cell_length_a 4.729
_cell_length_b 7.872
_cell_length_c 9.376
_cell_angle_alpha 90.00
_cell_angle_beta 90.00
_cell_angle_gamma 90.00
loop_
_space_group_symop_operation_xyz
'x,y,z'
loop_
_atom_site_label
_atom_site_fract_x
_atom_site_fract_y
_atom_site_fract_z
Na1 0.500 0.039 0.076
Na2 0.000 0.348 0.172
Na3 0.500 0.539 0.924
Na4 0.000 0.848 0.828
Ca1 0.000 0.986 0.445
Ca2 0.000 0.486 0.555
In1 0.500 0.151 0.681
In2 0.500 0.651 0.319
Sn1 0.000 0.252 0.849
Sn2 0.500 0.271 0.379
Sn3 0.000 0.752 0.151
Sn4 0.500 0.771 0.621
```

Results
E_tot   -0.106 hartree per atom
Energy of formation   -325 meV/atom
Total magnetic moment   0.0 μB/f.u.

No. 19
## Li2CdIn (PBE-GGA)

Data for a geometry-optimized Li2CdIn structure.

CIF file:
```
data_Li2CdIn
_chemical_formula_sum 'Li2 Cd1 In1'
_space_group_name_H-M_alt 'P 1'
_space_group_IT_number 1
_cell_length_a 4.725
_cell_length_b 4.725
_cell_length_c 4.725
_cell_angle_alpha 60.00
_cell_angle_beta 60.00
_cell_angle_gamma 60.00
loop_
_space_group_symop_operation_xyz
'x,y,z'
loop_
_atom_site_label
_atom_site_fract_x
_atom_site_fract_y
_atom_site_fract_z
Cd1 0.000 0.000 0.000
Li1 0.750 0.750 0.750
Li2 0.250 0.250 0.250
In1 0.500 0.500 0.500
```

Results
E_tot   -0.079 hartree per atom
Energy of formation   -277 meV/atom
Total magnetic moment   0.0 μB/f.u.

No. 20
## BaZr2In (PBE-GGA)

Data for a geometry-optimized BaZr2In structure.

CIF file:
```
data_BaZr2In
_chemical_formula_sum 'Ba1 Zr2 In1'
_space_group_name_H-M_alt 'P 1'
_space_group_IT_number 1
_cell_length_a 5.445
_cell_length_b 5.445
_cell_length_c 7.032
_cell_angle_alpha 83.69
_cell_angle_beta 83.69
_cell_angle_gamma 35.37
loop_
_space_group_symop_operation_xyz
'x,y,z'
loop_
_atom_site_label
_atom_site_fract_x
_atom_site_fract_y
_atom_site_fract_z
Ba1 0.511 0.511 0.491
In1 0.261 0.261 0.196
Zr1 0.996 0.996 0.977
Zr2 0.732 0.732 0.835
```

Results
E_tot   -0.192 hartree per atom
Energy of formation   211 meV/atom
Total magnetic moment   0.0 μB/f.u.